Record 1
## Tl2CdAs (PBE)

Data for a relaxed structure of Tl2CdAs.

## Properties
**Energy above the lowest structure with this stoichiometry**: 65 meV per atom
**Energy relative to the elements**: 117 meV per atom

```
Tl2CdAs
1.0
0.000 3.769 3.769
3.769 0.000 3.769
3.769 3.769 0.000
Tl Cd As
2 1 1
Cartesian
1.885 1.885 1.885 Tl
5.654 5.654 5.654 Tl
0.000 0.000 0.000 Cd
3.769 3.769 3.769 As
```

=====

Record 2
## Tl2CdAs (PBE)

Data for a relaxed structure of Tl2CdAs.

## Properties
**Energy above the lowest structure with this stoichiometry**: 41 meV per atom
**Energy relative to the elements**: 93 meV per atom

```
Tl2CdAs
1.0
-4.408 4.408 2.949
4.408 -4.408 2.949
4.408 4.408 -2.949
Tl Cd As
4 2 2
Cartesian
6.611 1.794 -0.737 Tl
1.794 2.204 0.737 Tl
-2.204 2.614 2.212 Tl
2.614 2.204 3.687 Tl
4.408 0.000 1.475 Cd
0.000 0.000 2.949 Cd
0.000 0.000 0.000 As
0.000 4.408 1.475 As
```

=====

Record 3
## TlCdAs2 (PBE)

Data for a relaxed structure of TlCdAs2.

## Properties
**Energy above the lowest structure with this stoichiometry**: 245 meV per atom
**Energy relative to the elements**: 296 meV per atom

```
TlCdAs2
1.0
-2.109 2.109 5.282
2.109 -2.109 5.282
2.109 2.109 -5.282
Tl Cd As
1 1 2
Cartesian
0.000 0.000 0.000 Tl
0.000 0.000 5.282 Cd
2.109 0.000 2.641 As
0.000 2.109 2.641 As
```

=====

Record 4
## TlCdAs (PBE)

Data for a relaxed structure of TlCdAs.

## Properties
**Energy relative to the elements**: 233 meV per atom

```
TlCdAs
1.0
3.239 0.000 0.000
-1.619 2.805 0.000
0.000 0.000 8.110
Tl Cd As
1 1 1
Cartesian
0.000 0.000 0.000 Tl
0.000 1.870 5.216 Cd
1.619 0.935 2.860 As
```

=====

Record 5
## Tl2CdAs (PBE)

Data for a relaxed structure of Tl2CdAs.

## Properties
**Energy above the lowest structure with this stoichiometry**: 70 meV per atom
**Energy relative to the elements**: 122 meV per atom

```
Tl2CdAs
1.0
4.529 0.000 0.000
0.000 4.529 0.000
0.000 0.000 5.138
Tl Cd As
2 1 1
Cartesian
0.000 2.265 0.000 Tl
2.265 0.000 0.000 Tl
0.000 0.000 2.569 Cd
2.265 2.265 2.569 As
```

=====

Record 6
## Tl2CdAs (PBE)

Data for a relaxed structure of Tl2CdAs.

## Properties
**Energy above the lowest structure with this stoichiometry**: 104 meV per atom
**Energy relative to the elements**: 156 meV per atom

```
Tl2CdAs
1.0
1.680 0.970 10.798
-1.680 0.970 10.798
0.000 -1.940 10.798
Tl Cd As
2 1 1
Cartesian
0.000 0.000 0.000 Tl
0.000 0.000 7.633 Tl
0.000 0.000 15.731 Cd
0.000 0.000 24.276 As
```

=====

Record 7
## Tl2CdAs (PBE)

Data for a relaxed structure of Tl2CdAs.

## Properties
**Energy above the lowest structure with this stoichiometry**: 3 meV per atom
**Energy relative to the elements**: 55 meV per atom

```
Tl2CdAs
1.0
-1.966 2.100 6.810
1.966 -2.100 6.810
1.966 2.100 -6.810
Tl Cd As
2 1 1
Cartesian
0.000 0.000 2.507 Tl
0.000 0.000 11.113 Tl
0.000 2.100 0.000 Cd
1.966 0.000 0.000 As
```

=====

Record 8
## TlCdAs2 (PBE)

Data for a relaxed structure of TlCdAs2.

## Properties
**Energy above the lowest structure with this stoichiometry**: 267 meV per atom
**Energy relative to the elements**: 318 meV per atom

```
TlCdAs2
1.0
5.500 0.000 0.000
0.000 3.090 0.000
-1.069 0.000 5.475
Tl Cd As
1 1 2
Cartesian
0.000 0.000 0.000 Tl
-0.535 1.545 2.737 Cd
2.215 0.000 2.737 As
2.750 1.545 0.000 As
```

=====

Record 9
## Tl2CdAs (PBE)

Data for a relaxed structure of Tl2CdAs.

## Properties
**Energy above the lowest structure with this stoichiometry**: 48 meV per atom
**Energy relative to the elements**: 100 meV per atom

```
Tl2CdAs
1.0
-1.703 2.756 5.794
1.703 -2.756 5.794
1.703 2.756 -5.794
Tl Cd As
2 1 1
Cartesian
0.000 0.000 0.000 Tl
0.000 2.756 2.327 Tl
0.000 0.000 5.012 Cd
1.703 0.000 2.717 As
```

=====

Record 10
## YTlCdAs2 (PBE)

Data for a relaxed structure of YTlCdAs2.

## Properties
**Energy relative to the elements**: 488 meV per atom

```
YTlCdAs2
1.0
5.382 0.000 0.000
0.000 5.382 0.000
0.000 0.000 5.223
Y Tl Cd As
1 1 1 2
Cartesian
0.000 0.000 0.000 Y
2.691 2.691 2.612 Tl
2.691 2.691 0.000 Cd
0.000 2.691 2.612 As
2.691 0.000 2.612 As
```

=====

Record 11
## TlZnCdAs2 (PBE)

Data for a relaxed structure of TlZnCdAs2.

## Properties
**Energy relative to the elements**: -10 meV per atom

```
TlZnCdAs2
1.0
6.893 -2.109 0.000
6.893 2.109 0.000
-6.127 0.000 8.645
Tl Zn Cd As
2 2 2 4
Cartesian
1.516 0.000 1.105 Tl
6.142 0.000 7.540 Tl
-3.448 0.000 6.223 Zn
11.105 0.000 2.422 Zn
1.446 0.000 5.295 Cd
6.212 0.000 3.350 Cd
-1.297 0.000 4.977 As
4.677 0.000 1.132 As
2.981 0.000 7.513 As
8.955 0.000 3.668 As
```

=====

Record 12
## TmCdAs2 (PBE)

Data for a relaxed structure of TmCdAs2.

## Properties
**Energy relative to the elements**: -555 meV per atom

```
TmCdAs2
1.0
2.087 1.205 6.282
-2.087 1.205 6.282
0.000 -2.409 6.282
Tm Cd As
1 1 2
Cartesian
0.000 0.000 0.000 Tm
0.000 0.000 9.423 Cd
0.000 0.000 4.731 As
0.000 0.000 14.115 As
```